{"formula": "TmB2Pt8", "functional": "PBE", "state": "relaxed", "m_tot_mub_per_cell": 0.0, "delta_e_f_kj_per_mol_fu": -456, "cell": [[3.919, -5.437, 0.000], [3.919, 5.437, 0.000], [-0.896, 0.000, 3.882]], "species": ["Tm", "B", "B", "Pt", "Pt", "Pt", "Pt", "Pt", "Pt", "Pt", "Pt"], "frac_coords": [[0.000, 0.000, 0.000], [0.342, 0.658, 0.500], [0.658, 0.342, 0.500], [0.052, 0.325, 0.587], [0.268, 0.732, 0.000], [0.325, 0.052, 0.587], [0.378, 0.378, 0.197], [0.622, 0.622, 0.803], [0.675, 0.948, 0.413], [0.732, 0.268, 0.000], [0.948, 0.675, 0.413]]}